1.
A geometry-optimized CaTl12Pb3 structure. Source: the Alexandria database, functional PBE.

Unit cell a=5.0813 b=5.0813 c=18.8277 alpha=90.00 beta=90.00 gamma=90.00
Last column: nearest neighbours and their distance in Å.
Space group P4/mmm (No. 123)
Symmetry-distinct sites (fractional):
1 Ca 0.0000 0.0000 0.0000 (multiplicity 1)  12 Tl 3.44-3.59
2 Tl 0.0000 0.5000 0.1230 (multiplicity 4)  2 Pb 3.35, 8 Tl 3.44-3.59, 2 Ca 3.44
3 Tl 0.0000 0.5000 0.3753 (multiplicity 4)  8 Tl 3.46-3.59, 4 Pb 3.46-3.61
4 Tl 0.5000 0.5000 0.0000 (multiplicity 1)  8 Tl 3.44, 4 Ca 3.59
5 Tl 0.5000 0.5000 0.2483 (multiplicity 2)  8 Tl 3.47-3.49, 4 Pb 3.60
6 Tl 0.5000 0.5000 0.5000 (multiplicity 1)  8 Tl 3.46, 4 Pb 3.59
7 Pb 0.0000 0.0000 0.2390 (multiplicity 2)  12 Tl 3.35-3.61
8 Pb 0.0000 0.0000 0.5000 (multiplicity 1)  12 Tl 3.46-3.59

Crystal system = tetragonal
Energy of formation = -0.049 eV per atom

=====

2.
A geometry-optimized Ca3Tl2Pb4 structure. Source: the Alexandria database, functional PBE.

Unit cell a=16.0943 b=11.7645 c=5.8730 alpha=90.00 beta=97.56 gamma=90.00
Last column: nearest neighbours and their distance in Å.
Space group C2/c (No. 15)
Symmetry-distinct sites (fractional):
1 Ca 0.0000 0.1199 0.2500 (multiplicity 4)  8 Pb 3.43-3.48, 2 Tl 3.55
2 Ca 0.1652 0.3738 0.0859 (multiplicity 8)  4 Tl 3.37-3.52, 6 Pb 3.39-3.51
3 Tl 0.2221 0.1221 0.3578 (multiplicity 8)  4 Pb 3.26-3.58, 5 Ca 3.37-3.55, 1 Tl 3.50
4 Pb 0.0539 0.3715 0.5382 (multiplicity 8)  4 Pb 3.21-3.60, 5 Ca 3.39-3.51, 1 Tl 3.58
5 Pb 0.1159 0.1260 0.7932 (multiplicity 8)  3 Tl 3.26-3.53, 1 Pb 3.34, 5 Ca 3.42-3.50

Crystal system = monoclinic
Energy of formation = -0.303 eV per atom

=====

3.
A geometry-optimized Ca4TlPb7 structure. Source: the Alexandria database, functional PBE.

Unit cell a=13.2149 b=6.0123 c=11.8149 alpha=90.00 beta=120.31 gamma=90.00
Last column: nearest neighbours and their distance in Å.
Space group C2/m (No. 12)
Symmetry-distinct sites (fractional):
1 Ca 0.0953 0.0000 0.2782 (multiplicity 4)  8 Pb 3.20-3.51
2 Ca 0.2226 0.0000 0.8157 (multiplicity 4)  6 Pb 3.26-3.53
3 Tl 0.0000 0.5000 0.5000 (multiplicity 2)  2 Pb 3.01
4 Pb 0.0000 0.0000 0.5000 (multiplicity 2)  2 Tl 3.01
5 Pb 0.0377 0.5000 0.8804 (multiplicity 4)  3 Ca 3.38-3.51, 4 Pb 3.39-3.44
6 Pb 0.1345 0.0000 0.0286 (multiplicity 4)  5 Ca 3.24-3.53, 3 Pb 3.27-3.39
7 Pb 0.2123 0.5000 0.4165 (multiplicity 4)  4 Ca 3.20-3.40, 4 Pb 3.39-3.46, 1 Tl 3.41

Crystal system = monoclinic
Energy of formation = -0.200 eV per atom

=====

> Among the records above, which one has the lowest energy of formation?

Ca3Tl2Pb4